# 1
A relaxed Ac2Pr3Pt4 crystal. Source: Alexandria via LeMat-Bulk, functional GGA-PBE.

The space group is P2_1/c (No. 14) and the conventional cell measures 7.8867, 7.9470 and 8.3552 Å, with angles of 90.00, 108.30 and 90.00 degrees. The inequivalent atoms are Ac at (0.2024, 0.1774, 0.0945), Pr at (0.2439, 0.6650, 0.2509), Pr at (0.5000, 0.0000, 0.5000), Pt at (0.0955, 0.5343, 0.8746) and Pt at (0.4986, 0.1311, 0.8768).

The energy of formation from the pure elements comes out at -1037 meV/atom. The spin magnetization comes out at 0.00 μB/f.u. The value obtained for the density of states at the Fermi level is 12.3 states/eV per cell.

# 2
A relaxed Cu3PbS crystal. Source: Alexandria via LeMat-Bulk, functional GGA-PBE.

The space group is Pm-3m (No. 221) and the conventional cell measures 4.9431, 4.9431 and 4.9431 Å, with angles of 90.00, 90.00 and 90.00 degrees. The inequivalent atoms are Cu at (0.0000, 0.0000, 0.5000), Pb at (0.0000, 0.0000, 0.0000) and S at (0.5000, 0.5000, 0.5000).

The spin magnetization comes out at 0.00 μB/f.u. The value obtained for the density of states at the Fermi level is 6.2 states/eV per cell. As for the uncorrected formation energy: 1181 meV per atom.

# 3
A relaxed YCdH2Pt crystal. Source: Alexandria via LeMat-Bulk, functional GGA-PBE.

The space group is P4/mmm (No. 123) and the conventional cell measures 4.0035, 4.0035 and 5.1683 Å, with angles of 90.00, 90.00 and 90.00 degrees. The inequivalent atoms are Y at (0.0000, 0.0000, 0.0000), Cd at (0.5000, 0.5000, 0.0000), H at (0.0000, 0.5000, 0.5000) and Pt at (0.5000, 0.5000, 0.5000).

The calculated total energy comes out at -19.33 eV for the cell shown. The spin magnetization comes out at 0.00 μB/f.u. The value obtained for the density of states at the Fermi level is 2.4 states/eV per cell.

# 4
A relaxed CePb2Au2 crystal. Source: Alexandria via LeMat-Bulk, functional GGA-PBE.

The space group is P2_1/m (No. 11) and the conventional cell measures 4.9436, 4.8438 and 11.3654 Å, with angles of 90.00, 90.22 and 90.00 degrees. The inequivalent atoms are Ce at (0.2471, 0.2500, 0.3320), Pb at (0.2502, 0.2500, 0.9971), Pb at (0.2518, 0.2500, 0.6812), Au at (0.2494, 0.7500, 0.1580) and Au at (0.2517, 0.7500, 0.5112).

The energy of formation from the pure elements comes out at -352 meV/atom. The spin magnetization comes out at 0.80 μB/f.u. The value obtained for the density of states at the Fermi level is 14.2 states/eV per cell.